# 1
A plane-wave DFT calculation with PBE was carried out for crystalline NaHfB2 at its relaxed geometry.

The mass density comes out at 4.88 g/cm3. As for the magnetic moment: 0.00 μB/f.u. The calculated total energy is -4.928 eV per atom. The energy above the most stable polymorph in this dataset is 468 meV per atom.

It has space group I-42d (No. 122), with a = 4.4459 Å, b = 4.4459 Å, c = 15.3541 Å, α = 90.00°, β = 90.00° and γ = 90.00°. The asymmetric unit holds Na at (0.0000, 0.0000, 0.0000), Hf at (0.0000, 0.0000, 0.5000) and B at (0.1317, 0.2500, 0.6250).


# 2
A plane-wave DFT calculation with PBE was carried out for crystalline KCa2La at its relaxed geometry.

The mass density comes out at 2.40 g/cm3. As for the magnetic moment: 0.00 μB/f.u. The calculated total energy is -2.279 eV per atom. The energy above the most stable polymorph in this dataset is 102 meV per atom.

It has space group Pm (No. 6), with a = 3.8038 Å, b = 6.6213 Å, c = 7.1064 Å, α = 90.00°, β = 90.94° and γ = 90.00°. The asymmetric unit holds K at (0.0000, 0.0000, 0.0000), Ca at (0.4800, 0.5000, 0.8083), Ca at (0.4968, 0.0000, 0.4972) and La at (0.9791, 0.5000, 0.3368).


# 3
A plane-wave DFT calculation with PBE was carried out for crystalline Cd2SbI at its relaxed geometry.

The mass density comes out at 5.00 g/cm3. As for the magnetic moment: 0.00 μB/f.u. The calculated total energy is -2.126 eV per atom. The energy above the most stable polymorph in this dataset is 0 meV per atom. As for the uncorrected formation energy: -251 meV per atom.

It has space group I-42d (No. 122), with a = 6.7299 Å, b = 6.7299 Å, c = 13.8771 Å, α = 90.00°, β = 90.00° and γ = 90.00°. The asymmetric unit holds Cd at (0.2006, 0.2500, 0.1250), Sb at (0.0000, 0.0000, 0.0000) and I at (0.0000, 0.0000, 0.5000).


# 4
A plane-wave DFT calculation with PBE was carried out for crystalline FeOsS4 at its relaxed geometry.

The mass density comes out at 6.69 g/cm3. As for the magnetic moment: 0.00 μB/f.u. The calculated total energy is -6.155 eV per atom. As for the uncorrected formation energy: -121 meV per atom.

It has space group C2/c (No. 15), with a = 7.4530 Å, b = 12.9048 Å, c = 5.1445 Å, α = 90.00°, β = 131.32° and γ = 90.00°. The asymmetric unit holds Fe at (0.0000, 0.1837, 0.2500), Os at (0.0000, 0.4422, 0.7500), S at (0.1850, 0.3000, 0.7033) and S at (0.2087, 0.0599, 0.6439).


- Among the records above, which one has the highest calculated total energy?
  Cd2SbI


- What is the magnetic moment in the first record?
  0.00 μB/f.u.


- Which of these has the lowest calculated total energy?
  FeOsS4